Compound: BaCa2Te
Source: Alexandria via LeMat-Bulk
Functional: GGA-PBE
Structure: optimized geometry

abc: 10.197 10.197 7.156
angles: 90.00 90.00 90.00
Space group I-42d (No. 122)
Unique sites:
Ba (0.000, 0.000, 0.000) x4
Ca (0.169, 0.250, 0.625) x8
Te (0.000, 0.000, 0.500) x4

Calculated values
The value obtained for the calculated density is 3.081 Mg/m³. For the electronic total energy, the calculation gives -11.4 eV per formula unit. The value obtained for the uncorrected formation energy is -0.5749 eV/atom.